Record 1
NaSr3Re: single point on PBEsol structure, SCAN.

As for the formation energy: 0.67 eV/atom. The value obtained for the density of states at the Fermi level is 0.949 states/eV per atom.

Unit cell a=5.8579 b=5.8579 c=5.8579 alpha=90.00 beta=90.00 gamma=90.00
Space group Pm-3m (No. 221)
Asymmetric unit:
Na 0.0000 0.0000 0.0000
Sr 0.0000 0.5000 0.5000
Re 0.5000 0.5000 0.5000

=====

Record 2
NaReTe2: single point on PBEsol structure, SCAN.

The value obtained for the uncorrected formation energy is 0.681 eV per atom. The distance to the lowest polymorph of the same formula is 1.760 eV/f.u. The value obtained for the density of states at the Fermi level is 0.794 states/eV per atom.

Unit cell a=3.1106 b=3.1106 c=31.8425 alpha=90.00 beta=90.00 gamma=120.00
Space group R-3m (No. 166, hexagonal axes)
Asymmetric unit:
Na 0.0000 0.0000 0.0000
Re 0.0000 0.0000 0.5000
Te 0.0000 0.0000 0.4181

=====

Record 3
NaReTe2: single point on PBEsol structure, SCAN.

The value obtained for the uncorrected formation energy is 0.241 eV per atom. The distance to the lowest polymorph of the same formula is 0.000 eV/f.u. The value obtained for the density of states at the Fermi level is 0.234 states/eV per atom.

Unit cell a=6.7789 b=6.7789 c=6.7789 alpha=90.00 beta=90.00 gamma=90.00
Space group Fm-3m (No. 225)
Asymmetric unit:
Na 0.0000 0.0000 0.0000
Re 0.0000 0.0000 0.5000
Te 0.2500 0.2500 0.2500

=====

Record 4
NaTi3Re: single point on PBEsol structure, SCAN.

As for the formation energy: 1.99 eV/atom. The value obtained for the density of states at the Fermi level is 1.488 states/eV per atom.

Unit cell a=4.4172 b=4.4172 c=4.4172 alpha=90.00 beta=90.00 gamma=90.00
Space group Pm-3m (No. 221)
Asymmetric unit:
Na 0.0000 0.0000 0.0000
Ti 0.0000 0.0000 0.5000
Re 0.5000 0.5000 0.5000

=====

The records above give, respectively, total moment values of 0.2842; 0.0000; 0.0000; 0.2525 μB/atom.